# 1
First-principles (PBE) data for RbCaMnBr6 after structural relaxation, as listed in Alexandria.

a = 7.1877 Å, b = 7.1877 Å, c = 7.5909 Å
α = 90.00°, β = 90.00°, γ = 120.00°
Sites, in units of the cell vectors:
Rb 0.0000 0.0000 0.0000
Ca 0.3333 0.6667 0.5000
Mn 0.6667 0.3333 0.5000
Br 0.3876 0.0339 0.7012
Br 0.3876 0.3537 0.2988
Br 0.6463 0.0339 0.2988
Br 0.6463 0.6124 0.7012
Br 0.9661 0.3537 0.7012
Br 0.9661 0.6124 0.2988

Properties
Formation energy without anion corrections, eV/atom: -1.342
Space-group type: P312 (149)
Fermi-level density of states, states/eV/atom: 0.740
Calculated total energy, eV per cell: -34.3

# 2
First-principles (PBE) data for CeDy2Pu3Se6 after structural relaxation, as listed in Alexandria.

a = 9.2400 Å, b = 9.2400 Å, c = 8.2954 Å
α = 103.01°, β = 103.01°, γ = 25.76°
Sites, in units of the cell vectors:
Ce 0.0000 0.0000 0.0000
Dy 0.3324 0.3324 0.6647
Dy 0.6676 0.6676 0.3353
Pu 0.0000 0.0000 0.5000
Pu 0.3353 0.3353 0.1656
Pu 0.6647 0.6647 0.8344
Se 0.1677 0.1677 0.5814
Se 0.1691 0.1691 0.0894
Se 0.4976 0.4976 0.7442
Se 0.5024 0.5024 0.2558
Se 0.8309 0.8309 0.9106
Se 0.8323 0.8323 0.4186

Properties
Formation energy without anion corrections, eV/atom: -1.673
Space-group type: C2/m (12)
Fermi-level density of states, states/eV/atom: 2.327
Calculated total energy, eV per cell: -99.1

# 3
First-principles (PBE) data for Ba2YCr after structural relaxation, as listed in Alexandria.

a = 5.0985 Å, b = 5.0985 Å, c = 11.6987 Å
α = 90.00°, β = 90.00°, γ = 90.00°
Sites, in units of the cell vectors:
Ba 0.0000 0.5000 0.2500
Ba 0.0000 0.5000 0.7500
Ba 0.5000 0.0000 0.2500
Ba 0.5000 0.0000 0.7500
Y 0.0000 0.0000 0.0000
Y 0.5000 0.5000 0.5000
Cr 0.0000 0.0000 0.5000
Cr 0.5000 0.5000 0.0000

Properties
Space-group type: I4/mmm (139)
Fermi-level density of states, states/eV/atom: 1.453
Energy of formation, eV per atom: 0.66
Energy above the lowest structure with this stoichiometry, eV/atom: 0.2715
Calculated total energy, eV per cell: -34.6

# 4
First-principles (PBE) data for YHgW2 after structural relaxation, as listed in Alexandria.

a = 4.0600 Å, b = 4.0600 Å, c = 4.7834 Å
α = 90.00°, β = 90.00°, γ = 90.00°
Sites, in units of the cell vectors:
Y 0.0000 0.0000 0.0000
Hg 0.5000 0.5000 0.0000
W 0.0000 0.5000 0.5000
W 0.5000 0.0000 0.5000

Properties
Space-group type: P4/mmm (123)
Fermi-level density of states, states/eV/atom: 0.841
Energy of formation, eV per atom: 0.61
Calculated total energy, eV per cell: -30.2

# 5
First-principles (PBE) data for BeIrO3 after structural relaxation, as listed in Alexandria.

a = 3.4246 Å, b = 3.4246 Å, c = 3.4246 Å
α = 90.00°, β = 90.00°, γ = 90.00°
Sites, in units of the cell vectors:
Be 0.0000 0.0000 0.0000
Ir 0.5000 0.5000 0.5000
O 0.0000 0.0000 0.5000
O 0.0000 0.5000 0.0000
O 0.5000 0.0000 0.0000

Properties
Formation energy without anion corrections, eV/atom: -0.311
Space-group type: Pm-3m (221)
Fermi-level density of states, states/eV/atom: 0.561
Calculated total energy, eV per cell: -29.0

# 6
First-principles (PBE) data for NiCl2 after structural relaxation, as listed in Alexandria.

a = 3.1800 Å, b = 8.2025 Å, c = 13.1394 Å
α = 90.00°, β = 90.00°, γ = 90.00°
Sites, in units of the cell vectors:
Ni 0.0000 0.0000 0.0000
Ni 0.0000 0.5000 0.5000
Ni 0.5000 0.0000 0.5000
Ni 0.5000 0.5000 0.0000
Cl 0.0000 0.0000 0.3871
Cl 0.0000 0.0000 0.6129
Cl 0.0000 0.5000 0.1129
Cl 0.0000 0.5000 0.8871
Cl 0.5000 0.0000 0.1129
Cl 0.5000 0.0000 0.8871
Cl 0.5000 0.5000 0.3871
Cl 0.5000 0.5000 0.6129

Properties
Formation energy without anion corrections, eV/atom: -0.489
Space-group type: Fmmm (69)
Fermi-level density of states, states/eV/atom: 0.867
Calculated total energy, eV per cell: -43.8

> Which of these has the highest calculated total energy?

BeIrO3

> What is the calculated total energy in the sixth record?

-43.8 eV per cell